## ZnSeO5 (PBE)

Data for a geometry-optimized ZnSeO5 structure.

a b c (Å): 6.549 8.437 7.645
angles (deg): 90.00 115.25 90.00
Space group C2/c (No. 15)
One atom of each set of equivalent atoms:
Zn 0.000 0.000 0.000 (multiplicity 4)
Se 0.000 0.327 0.250 (multiplicity 4)
O 0.000 0.098 0.750 (multiplicity 4)
O 0.148 0.214 0.163 (multiplicity 8)
O 0.178 0.438 0.433 (multiplicity 8)

Properties
Distance to the lowest polymorph of the same formula in eV/f.u.: 2.44
Total moment in μB/cell: 8.06